Ca2NdYSe4 | GGA-PBE | optimized geometry

The total magnetization is 0.00 μB/atom. The calculated volume comes out at 25.8 Å³/atom. Its uncorrected formation energy is -1.891 eV/atom.

The space group is P2/m (No. 10) and the conventional cell measures 7.190, 4.148 and 7.320 Å, with angles of 90.00, 109.08 and 90.00 degrees. The distinct sites, in fractional coordinates, are Ca at (0.000, 0.000, 0.000), Ca at (0.500, 0.500, 0.000), Nd at (0.000, 0.500, 0.500), Y at (0.500, 0.000, 0.500), Se at (0.256, 0.500, 0.251) and Se at (0.258, 0.000, 0.754).